Arrangement 1

A geometry-optimized CaMg14C structure, computed with PBE.

Lattice parameters (Å, degrees): 6.420 6.420 10.676 90.00 90.00 123.41
Fractional positions:
Mg 0.324 0.676 0.000
Mg 0.666 0.334 0.239
Mg 0.666 0.334 0.761
Mg 0.170 0.321 0.241
Mg 0.304 0.245 0.500
Mg 0.328 0.165 0.000
Mg 0.170 0.321 0.759
Mg 0.755 0.696 0.500
Mg 0.831 0.169 0.000
Mg 0.215 0.785 0.355
Mg 0.835 0.672 0.000
Mg 0.679 0.830 0.759
Mg 0.679 0.830 0.241
Mg 0.215 0.785 0.645
Ca 0.798 0.202 0.500
C 0.368 0.632 0.500

The theoretical density is 1.774 Mg/m³. As for the crystal system: orthorhombic. For the volume, the calculation gives 22.956 Å³/atom.

***

Arrangement 2

A geometry-optimized CaMg14C structure, computed with PBE.

Lattice parameters (Å, degrees): 6.438 6.438 10.015 90.00 90.00 120.00
Fractional positions:
Mg 0.509 0.491 0.500
Mg 0.686 0.843 0.719
Mg 0.157 0.314 0.719
Mg 0.157 0.314 0.281
Mg 0.493 0.507 0.000
Mg 0.667 0.333 0.759
Mg 0.509 0.017 0.500
Mg 0.493 0.987 0.000
Mg 0.157 0.843 0.281
Mg 0.667 0.333 0.241
Mg 0.157 0.843 0.719
Mg 0.983 0.491 0.500
Mg 0.686 0.843 0.281
Mg 0.013 0.507 0.000
C 0.000 0.000 0.500
Ca 0.000 0.000 0.000

The theoretical density is 1.812 Mg/m³. As for the crystal system: hexagonal. For the volume, the calculation gives 22.471 Å³/atom.

***

Stability summary - winner: arrangement 1; margin: 0.085 eV/atom.

***

Arrangement 1

A geometry-optimized Ca2MgMnC structure, computed with PBE.

Lattice parameters (Å, degrees): 5.282 5.282 3.854 90.00 90.00 90.00
Fractional positions:
C 0.000 0.000 0.000
Mg 0.500 0.500 0.500
Mn 0.000 0.000 0.500
Ca 0.500 0.000 0.000
Ca 0.000 0.500 0.000

The theoretical density is 2.647 Mg/m³. As for the crystal system: tetragonal. For the volume, the calculation gives 21.504 Å³/atom.

***

Arrangement 2

A geometry-optimized Ca2MgMnC structure, computed with PBE.

Lattice parameters (Å, degrees): 5.884 5.884 3.922 90.00 90.00 90.00
Fractional positions:
Mg 0.000 0.000 0.000
C 0.000 0.000 0.500
Mn 0.500 0.500 0.500
Ca 0.500 0.000 0.000
Ca 0.000 0.500 0.000

The theoretical density is 2.096 Mg/m³. As for the crystal system: tetragonal. For the volume, the calculation gives 27.155 Å³/atom.

***

Stability summary - winner: arrangement 1; margin: 1.050 eV/atom.

***

Arrangement 1

A geometry-optimized CaMnC3 structure, computed with PBE.

Lattice parameters (Å, degrees): 3.822 3.822 3.822 90.00 90.00 90.00
Fractional positions:
C 0.000 0.500 0.000
C 0.500 0.000 0.000
C 0.000 0.000 0.500
Ca 0.500 0.500 0.500
Mn 0.000 0.000 0.000

The theoretical density is 3.897 Mg/m³. As for the crystal system: cubic. For the volume, the calculation gives 11.168 Å³/atom.

***

Arrangement 2

A geometry-optimized CaMnC3 structure, computed with PBE.

Lattice parameters (Å, degrees): 4.231 4.231 4.231 90.00 90.00 90.00
Fractional positions:
C 0.000 0.000 0.500
C 0.500 0.000 0.000
C 0.000 0.500 0.000
Mn 0.500 0.500 0.500
Ca 0.000 0.000 0.000

The theoretical density is 2.873 Mg/m³. As for the crystal system: cubic. For the volume, the calculation gives 15.147 Å³/atom.

***

Stability summary - winner: arrangement 1; margin: 2.687 eV/atom.

***

Arrangement 1

A geometry-optimized CaMn3C structure, computed with PBE.

Lattice parameters (Å, degrees): 4.061 4.061 4.061 90.00 90.00 90.00
Fractional positions:
C 0.000 0.000 0.000
Mn 0.500 0.000 0.000
Mn 0.000 0.000 0.500
Mn 0.000 0.500 0.000
Ca 0.500 0.500 0.500

The theoretical density is 5.379 Mg/m³. As for the crystal system: cubic. For the volume, the calculation gives 13.393 Å³/atom.

***

Arrangement 2

A geometry-optimized CaMn3C structure, computed with PBE.

Lattice parameters (Å, degrees): 4.824 4.824 4.824 90.00 90.00 90.00
Fractional positions:
Ca 0.000 0.000 0.000
Mn 0.000 0.500 0.000
Mn 0.000 0.000 0.500
Mn 0.500 0.000 0.000
C 0.500 0.500 0.500

The theoretical density is 3.209 Mg/m³. As for the crystal system: cubic. For the volume, the calculation gives 22.446 Å³/atom.

***

Stability summary - winner: arrangement 1; margin: 2.751 eV/atom.

***

Arrangement 1

A geometry-optimized CaMnC structure, computed with PBE.

Lattice parameters (Å, degrees): 3.493 3.493 8.217 90.00 90.00 90.00
Fractional positions:
C 0.500 0.000 0.611
C 0.000 0.500 0.389
Ca 0.500 0.000 0.201
Ca 0.000 0.500 0.799
Mn 0.000 0.000 0.500
Mn 0.500 0.500 0.500

The theoretical density is 3.545 Mg/m³. As for the crystal system: tetragonal. For the volume, the calculation gives 16.709 Å³/atom.

***

Arrangement 2

A geometry-optimized CaMnC structure, computed with PBE.

Lattice parameters (Å, degrees): 4.380 3.345 3.345 120.00 90.00 90.00
Fractional positions:
C 0.167 0.000 0.000
Ca 0.667 0.667 0.333
Mn 0.167 0.333 0.667

The theoretical density is 4.188 Mg/m³. As for the crystal system: hexagonal. For the volume, the calculation gives 14.147 Å³/atom.

***

Stability summary - winner: arrangement 1; margin: 0.307 eV/atom.

***

Arrangement 1

A geometry-optimized Ca3MnC structure, computed with PBE.

Lattice parameters (Å, degrees): 5.083 5.083 5.083 90.00 90.00 90.00
Fractional positions:
Ca 0.500 0.000 0.000
Ca 0.000 0.500 0.000
Ca 0.000 0.000 0.500
Mn 0.500 0.500 0.500
C 0.000 0.000 0.000

The theoretical density is 2.367 Mg/m³. As for the crystal system: cubic. For the volume, the calculation gives 26.262 Å³/atom.

***

Arrangement 2

A geometry-optimized Ca3MnC structure, computed with PBE.

Lattice parameters (Å, degrees): 5.285 5.285 5.285 90.00 90.00 90.00
Fractional positions:
Ca 0.500 0.000 0.000
Ca 0.000 0.500 0.000
Ca 0.000 0.000 0.500
Mn 0.000 0.000 0.000
C 0.500 0.500 0.500

The theoretical density is 2.105 Mg/m³. As for the crystal system: cubic. For the volume, the calculation gives 29.531 Å³/atom.

***

Stability summary - winner: arrangement 1; margin: 1.106 eV/atom.

***

Arrangement 1

A geometry-optimized Ca3MoC structure, computed with PBE.

Lattice parameters (Å, degrees): 5.065 5.065 5.065 90.00 90.00 90.00
Fractional positions:
Ca 0.500 0.000 0.000
Ca 0.000 0.500 0.000
Ca 0.000 0.000 0.500
C 0.000 0.000 0.000
Mo 0.500 0.500 0.500

The theoretical density is 2.916 Mg/m³. As for the crystal system: cubic. For the volume, the calculation gives 25.992 Å³/atom.

***

Arrangement 2

A geometry-optimized Ca3MoC structure, computed with PBE.

Lattice parameters (Å, degrees): 5.363 5.363 5.363 90.00 90.00 90.00
Fractional positions:
Mo 0.000 0.000 0.000
Ca 0.500 0.000 0.000
Ca 0.000 0.000 0.500
Ca 0.000 0.500 0.000
C 0.500 0.500 0.500

The theoretical density is 2.456 Mg/m³. As for the crystal system: cubic. For the volume, the calculation gives 30.851 Å³/atom.

***

Stability summary - winner: arrangement 1; margin: 1.098 eV/atom.

***

Arrangement 1

A geometry-optimized CaMoC2 structure, computed with PBE.

Lattice parameters (Å, degrees): 5.474 5.474 5.860 62.16 62.16 90.00
Fractional positions:
Ca 0.250 0.750 0.500
Ca 0.500 0.500 0.000
Mo 0.000 0.000 0.000
Mo 0.750 0.250 0.500
C 0.375 0.288 0.750
C 0.038 0.625 0.250
C 0.875 0.962 0.750
C 0.712 0.125 0.250

The theoretical density is 4.032 Mg/m³. As for the crystal system: tetragonal. For the volume, the calculation gives 16.478 Å³/atom.

***

Arrangement 2

A geometry-optimized CaMoC2 structure, computed with PBE.

Lattice parameters (Å, degrees): 3.173 3.173 6.041 74.78 74.78 60.00
Fractional positions:
C 0.265 0.265 0.205
C 0.735 0.735 0.795
Mo 0.000 0.000 0.000
Ca 0.500 0.500 0.500

The theoretical density is 5.295 Mg/m³. As for the crystal system: trigonal. For the volume, the calculation gives 12.547 Å³/atom.

***

Arrangement 3

A geometry-optimized CaMoC2 structure, computed with PBE.

Lattice parameters (Å, degrees): 4.060 4.060 4.060 60.00 60.00 60.00
Fractional positions:
Mo 0.500 0.500 0.500
Ca 0.000 0.000 0.000
C 0.750 0.750 0.750
C 0.250 0.250 0.250

The theoretical density is 5.615 Mg/m³. As for the crystal system: cubic. For the volume, the calculation gives 11.833 Å³/atom.

***

Stability summary - winner: arrangement 2; margin: 0.010 eV/atom.